Entry 1:
Compound: PmScAl
Source: OQMD via LeMat-Bulk
Functional: PBE
Structure: optimized geometry

Cell and atoms, written as POSCAR:
```
PmScAl
1.0
0.0000 3.5229 3.5229
3.5229 0.0000 3.5229
3.5229 3.5229 0.0000
Pm Sc Al
1 1 1
Direct
0.0000 0.0000 0.0000
0.2500 0.2500 0.2500
0.7500 0.7500 0.7500
```

Computed properties:
Total moment: 0.000 Bohr magnetons per cell
Calculated total energy: -4.394 eV per atom
Offset from the most stable computed form: 144.8 meV per atom

---

Entry 2:
Compound: PmScAl
Source: OQMD via LeMat-Bulk
Functional: PBE
Structure: optimized geometry

Cell and atoms, written as POSCAR:
```
PmScAl
1.0
0.0000 3.4801 3.4801
3.4801 0.0000 3.4801
3.4801 3.4801 0.0000
Pm Sc Al
1 1 1
Direct
0.0000 0.0000 0.0000
0.7500 0.7500 0.7500
0.5000 0.5000 0.5000
```

Computed properties:
Total moment: 0.941 Bohr magnetons per cell
Calculated total energy: -4.539 eV per atom
Offset from the most stable computed form: 0.0 meV per atom

---

Question: Which formula does entry 2 have?
Answer: PmScAl